First-principles (GGA-PBE) data for a relaxed structure of ZrSc2Be, as listed in the Alexandria database.

Cell: 7.5614 7.5614 6.0555 Å, 51.37 51.37 90.00°
With the nearest neighbours (Å) after each atom.
Atoms (fractional coordinates):
Zr 0.0000 0.0000 0.0000  2 Be 2.84, 4 Sc 3.03
Zr 0.7500 0.2500 0.5000  2 Be 2.84, 4 Sc 3.03
Sc 0.8750 0.8265 0.7500  2 Be 2.53
Sc 0.5765 0.1250 0.2500  2 Be 2.53
Sc 0.1735 0.6250 0.2500  2 Be 2.53
Sc 0.3750 0.4235 0.7500  2 Be 2.53
Be 0.5000 0.5000 0.0000  4 Sc 2.53
Be 0.2500 0.7500 0.5000  4 Sc 2.53

## Properties
The calculation puts the density of states at the Fermi level at 5.94 states/eV/cell. The formation energy is 0.303 eV per atom. Its symmetry is No. 122.